DFT (PBE) results for a geometry-optimized BaAsRuSe2 structure.

The structure in POSCAR format:
```
BaAsRuSe2
1.0
5.905 0.000 0.000
0.000 5.905 0.000
0.000 0.000 5.739
Ba As Ru Se
1 1 1 2
direct
0.000 0.000 0.000
0.000 0.000 0.500
0.500 0.500 0.500
0.000 0.500 0.000
0.500 0.000 0.000
```

## Properties
size of the total moment	0.828	μB/atom
N(E_F)	12.42	states/eV/cell
crystal system	tetragonal
formation energy without anion corrections	1.467	eV/atom
energy above the most stable polymorph in this dataset	10.068	eV per formula unit
symmetry	P4/mmm, No. 123